## Tl2IrPt3O12 (GGA-PBE)

Data for an optimized crystal structure of Tl2IrPt3O12.

Output
As for the total energy: -5.538 eV/atom. The calculation puts the uncorrected formation energy at -470.9 meV per atom. The symmetry is R-3m. The total magnetization comes out at 0.00 μB per cell.

a b c (Å): 7.229 7.229 7.229
angles (deg): 59.66 59.66 59.66
Sites, in units of the cell vectors:
1 Tl 0.681 0.681 0.681
2 Tl 0.319 0.319 0.319
3 Ir 0.000 0.000 0.000
4 Pt 0.500 0.000 0.000
5 Pt 0.000 0.500 0.000
6 Pt 0.000 0.000 0.500
7 O 0.334 0.334 0.943
8 O 0.929 0.929 0.316
9 O 0.316 0.929 0.929
10 O 0.943 0.334 0.334
11 O 0.929 0.316 0.929
12 O 0.334 0.943 0.334
13 O 0.666 0.666 0.057
14 O 0.071 0.071 0.684
15 O 0.684 0.071 0.071
16 O 0.057 0.666 0.666
17 O 0.071 0.684 0.071
18 O 0.666 0.057 0.666

## LuPuHfSc (GGA-PBE)

Data for an optimized crystal structure of LuPuHfSc.

Output
As for the total energy: -8.574 eV/atom. The symmetry is F-43m. For the formation energy from the elements, the calculation gives 81 kJ/mol of formula units. The total magnetization comes out at 6.10 μB per cell.

a b c (Å): 5.208 5.208 5.208
angles (deg): 60.00 60.00 60.00
Last column: magnetic moment on the atom in μB.
Sites, in units of the cell vectors:
1 Sc 0.000 0.000 0.000  0.16
2 Lu 0.750 0.750 0.750  0.02
3 Hf 0.500 0.500 0.500  0.20
4 Pu 0.250 0.250 0.250  5.32

## Ho2NiIr (GGA-PBE)

Data for an optimized crystal structure of Ho2NiIr.

Output
As for the total energy: -6.627 eV/atom. The symmetry is I4/mmm. For the formation energy from the elements, the calculation gives -262 kJ/mol of formula units. The total magnetization comes out at 0.00 μB per cell.

a b c (Å): 4.784 4.784 4.803
angles (deg): 60.12 60.12 89.98
Sites, in units of the cell vectors:
1 Ni 0.250 0.750 0.500
2 Ir 0.750 0.250 0.500
3 Ho 0.000 0.000 0.000
4 Ho 0.500 0.500 0.000

## PIN2 (GGA-PBE)

Data for an optimized crystal structure of PIN2.

Output
The energy above the lowest structure with this stoichiometry comes out at 0.0 meV per atom. As for the total energy: -5.352 eV/atom. The calculation puts the uncorrected formation energy at 551.1 meV per atom. The symmetry is Fd-3m. The total magnetization comes out at 0.00 μB per cell.

a b c (Å): 5.319 5.319 5.323
angles (deg): 60.03 60.03 90.00
Sites, in units of the cell vectors:
1 I 0.000 0.000 0.000
2 I 0.750 0.250 0.500
3 P 0.500 0.500 0.000
4 P 0.250 0.750 0.500
5 N 0.375 0.125 0.250
6 N 0.375 0.625 0.250
7 N 0.375 0.625 0.750
8 N 0.875 0.625 0.750

## SrBeCd (GGA-PBE)

Data for an optimized crystal structure of SrBeCd.

Output
The energy above the lowest structure with this stoichiometry comes out at 146.6 meV per atom. As for the total energy: -1.855 eV/atom. The symmetry is I4mm. For the formation energy from the elements, the calculation gives 73 kJ/mol of formula units. The total magnetization comes out at 0.00 μB per cell.

a b c (Å): 6.257 6.257 3.528
angles (deg): 73.62 73.62 32.76
Sites, in units of the cell vectors:
1 Sr 0.660 0.660 0.340
2 Be 0.965 0.964 0.035
3 Cd 0.375 0.375 0.625

## Ce4SnIr2 (GGA-PBE)

Data for an optimized crystal structure of Ce4SnIr2.

Output
The energy above the lowest structure with this stoichiometry comes out at 0.0 meV per atom. As for the total energy: -7.100 eV/atom. The symmetry is Cmcm. For the formation energy from the elements, the calculation gives -409 kJ/mol of formula units. The total magnetization comes out at 4.51 μB per cell.

a b c (Å): 4.253 7.001 13.707
angles (deg): 90.00 90.00 107.68
Last column: magnetic moment on the atom in μB.
Sites, in units of the cell vectors:
1 Ce 0.766 0.532 0.114  0.46
2 Ce 0.766 0.532 0.386  0.46
3 Ce 0.234 0.468 0.886  0.46
4 Ce 0.234 0.468 0.614  0.46
5 Ce 0.934 0.868 0.750  0.61
6 Ce 0.066 0.132 0.250  0.61
7 Ce 0.500 0.000 0.000  0.42
8 Ce 0.500 0.000 0.500  0.42
9 Sn 0.612 0.223 0.750  -0.03
10 Sn 0.388 0.777 0.250  -0.03
11 Ir 0.130 0.259 0.441  -0.04
12 Ir 0.870 0.741 0.941  -0.04
13 Ir 0.130 0.259 0.059  -0.04
14 Ir 0.870 0.741 0.559  -0.04

## InPCl3 (GGA-PBE)

Data for an optimized crystal structure of InPCl3.

Output
The energy above the lowest structure with this stoichiometry comes out at 335.9 meV per atom. As for the total energy: -2.760 eV/atom. The calculation puts the uncorrected formation energy at -22.4 meV per atom. The symmetry is Pm-3m. The total magnetization comes out at 2.72 μB per cell.

a b c (Å): 5.204 5.204 5.204
angles (deg): 90.00 90.00 90.00
Last column: magnetic moment on the atom in μB.
Sites, in units of the cell vectors:
1 P 0.500 0.500 0.500  1.12
2 Cl 0.000 0.500 0.000  0.02
3 Cl 0.000 0.000 0.500  0.05
4 Cl 0.500 0.000 0.000  0.04
5 In 0.000 0.000 0.000  0.01

## CeZr2S (GGA-PBE)

Data for an optimized crystal structure of CeZr2S.

Output
As for the total energy: -7.208 eV/atom. The calculation puts the uncorrected formation energy at -418.4 meV per atom. The symmetry is R-3m. The total magnetization comes out at 0.38 μB per cell.

a b c (Å): 3.269 3.269 9.888
angles (deg): 80.49 80.49 60.00
Last column: magnetic moment on the atom in μB.
Sites, in units of the cell vectors:
1 S 0.500 0.500 0.500  0.00
2 Zr 0.105 0.105 0.686  0.01
3 Zr 0.895 0.895 0.314  0.01
4 Ce 0.000 0.000 0.000  0.28